(1)
Below is a relaxed structure of NaHg3Pb, with properties calculated at the PBE level.

Summary:
ρ: 10.30 g cm⁻³
E_form: -0.12 eV per atom
uncorrected energy: -1.302 eV/atom
ΔE to the lowest computed polymorph: 0.0 meV/atom
spin magnetization: 0.0000 μB per atom

Unit cell a=5.4927 b=5.4695 c=9.2950 alpha=90.00 beta=106.20 gamma=90.00
Closest atoms and distances in Å follow each position.
Space group P2_1/m (No. 11)
Unique sites:
Na: 0.0840 0.2500 0.3175  9 Hg 3.21-3.34, 2 Pb 3.52
Hg: 0.2568 0.2500 0.6920  6 Hg 3.20-3.37, 3 Na 3.30-3.34, 2 Pb 3.33-3.40
Hg: 0.3284 0.7500 0.4956  7 Hg 3.20-3.44, 4 Na 3.21-3.28
Hg: 0.4996 0.2500 0.1189  4 Pb 3.17-3.47, 2 Na 3.23-3.31, 5 Hg 3.32-3.52
Pb: 0.1322 0.7500 0.0894  6 Hg 3.17-3.47, 2 Pb 3.32, 2 Na 3.52

=====

(2)
Below is a relaxed structure of NaHg3Pb4, with properties calculated at the PBE level.

Summary:
ρ: 10.52 g cm⁻³
E_form: -0.04 eV per atom
uncorrected energy: -2.173 eV/atom
spin magnetization: 0.0000 μB per atom

Unit cell a=7.3843 b=7.2113 c=8.6199 alpha=90.00 beta=90.00 gamma=90.00
Closest atoms and distances in Å follow each position.
Space group Pmn2_1 (No. 31)
Unique sites:
Na: 0.0000 0.0137 0.0000  5 Hg 3.33-3.39, 6 Pb 3.41-3.69
Hg: 0.0000 0.4842 0.0006  6 Pb 3.31-3.69, 4 Hg 3.37-3.39, 1 Na 3.39
Hg: 0.2494 0.7545 0.2382  6 Pb 3.33-3.68, 2 Na 3.33-3.36, 4 Hg 3.37-3.70
Pb: 0.0000 0.5070 0.4914  6 Pb 3.30-3.66, 4 Hg 3.37-3.39
Pb: 0.0000 0.9993 0.4923  4 Hg 3.33-3.36, 6 Pb 3.39-3.66, 2 Na 3.69
Pb: 0.2410 0.7357 0.7550  5 Pb 3.30-3.56, 4 Hg 3.31-3.68, 2 Na 3.41-3.43

=====

(3)
Below is a relaxed structure of NaHg3Pb, with properties calculated at the PBE level.

Summary:
ρ: 9.96 g cm⁻³
E_form: -0.09 eV per atom
uncorrected energy: -1.275 eV/atom
ΔE to the lowest computed polymorph: 26.8 meV/atom
spin magnetization: 0.0000 μB per atom

Unit cell a=10.7620 b=3.5631 c=14.4667 alpha=90.00 beta=90.00 gamma=90.00
Closest atoms and distances in Å follow each position.
Space group Pnma (No. 62)
Unique sites:
Na: 0.1253 0.2500 0.1319  7 Hg 3.08-3.29
Hg: 0.1094 0.7500 0.7227  2 Na 3.14-3.29, 4 Hg 3.21-3.35, 2 Pb 3.46
Hg: 0.1137 0.2500 0.9191  3 Na 3.08-3.21, 3 Hg 3.11-3.35
Hg: 0.1339 0.7500 0.3143  3 Hg 3.11-3.21, 2 Na 3.18, 2 Pb 3.45
Pb: 0.1244 0.2500 0.5182  4 Pb 3.26-3.56, 6 Hg 3.45-3.63, 2 Na 3.62